VASP calculation (GGA-PBE) on crystalline NbGa2GeI at its relaxed geometry.

Summary:
Raw formation energy = 1525.2 meV per atom
Space group = P4/mmm (123)

a b c (Å): 5.5425 5.4603 5.5425
angles (deg): 90.00 90.00 90.00
Site moments in Bohr magnetons follow the coordinates.
Fractional coordinates of all 5 atoms:
I1 0.0000 0.0000 0.0000  -0.03
Nb1 0.5000 0.5000 0.5000  2.76
Ge1 0.0000 0.5000 0.0000  -0.13
Ga1 0.0000 0.0000 0.5000  0.02
Ga2 0.5000 0.0000 0.0000  -0.03

VASP calculation (GGA-PBE) on crystalline Nd4GaGeI2 at its relaxed geometry.

Summary:
Raw formation energy = -898.4 meV per atom
Space group = P2/m (10)

a b c (Å): 4.3748 7.6316 7.9997
angles (deg): 108.39 90.00 90.00
Fractional coordinates of all 8 atoms:
Nd1 0.5000 0.2346 0.2032
Nd2 0.5000 0.7654 0.7968
Nd3 0.0000 0.2644 0.7939
Nd4 0.0000 0.7356 0.2061
Ga1 0.5000 0.5000 0.0000
Ge1 0.0000 0.0000 0.0000
I1 0.5000 0.0000 0.5000
I2 0.0000 0.5000 0.5000

VASP calculation (GGA-PBE) on crystalline Nd8GaGe3I4 at its relaxed geometry.

Summary:
Raw formation energy = -963.0 meV per atom
Space group = R-3m (166)

a b c (Å): 8.7583 9.1564 8.7586
angles (deg): 118.58 120.00 90.00
Fractional coordinates of all 16 atoms:
Nd1 0.2339 0.7025 0.9686
Nd2 0.2339 0.7025 0.4678
Nd3 0.2665 0.2996 0.5330
Nd4 0.7347 0.7025 0.9686
Nd5 0.2653 0.2975 0.0314
Nd6 0.7335 0.7004 0.4670
Nd7 0.7661 0.2975 0.5322
Nd8 0.7661 0.2975 0.0314
Ga1 0.0000 0.5000 0.0000
Ge1 0.5000 0.5000 0.0000
Ge2 0.5000 0.5000 0.5000
Ge3 0.0000 0.5000 0.5000
I1 0.5000 0.0000 0.0000
I2 0.5000 0.0000 0.5000
I3 0.0000 0.0000 0.0000
I4 0.0000 0.0000 0.5000

VASP calculation (GGA-PBE) on crystalline Nd6GaGe2I3 at its relaxed geometry.

Summary:
Raw formation energy = -942.2 meV per atom
Space group = C2/m (12)

a b c (Å): 7.5977 7.5977 8.0172
angles (deg): 99.08 99.08 120.03
Fractional coordinates of all 12 atoms:
Nd1 0.9326 0.5988 0.7971
Nd2 0.7341 0.7341 0.2032
Nd3 0.0674 0.4012 0.2029
Nd4 0.5988 0.9326 0.7971
Nd5 0.2659 0.2659 0.7968
Nd6 0.4012 0.0674 0.2029
Ga1 0.0000 0.0000 0.0000
Ge1 0.3336 0.6664 0.0000
Ge2 0.6664 0.3336 0.0000
I1 0.1671 0.8329 0.5000
I2 0.8329 0.1671 0.5000
I3 0.5000 0.5000 0.5000

VASP calculation (GGA-PBE) on crystalline GaNi2GeI at its relaxed geometry.

Summary:
Raw formation energy = 525.2 meV per atom
Space group = P4/mmm (123)

a b c (Å): 4.5519 4.5519 5.1519
angles (deg): 90.00 90.00 90.00
Fractional coordinates of all 5 atoms:
I1 0.5000 0.5000 0.5000
Ni1 0.0000 0.5000 0.0000
Ni2 0.5000 0.0000 0.0000
Ge1 0.0000 0.0000 0.0000
Ga1 0.0000 0.0000 0.5000

VASP calculation (GGA-PBE) on crystalline GaGeIO2 at its relaxed geometry.

Summary:
E above lowest polymorph = 128 meV per atom
Raw formation energy = -202.8 meV per atom
Space group = P4/mmm (123)

a b c (Å): 3.9948 3.9948 5.5645
angles (deg): 90.00 90.00 90.00
Fractional coordinates of all 5 atoms:
I1 0.0000 0.0000 0.5000
Ge1 0.5000 0.5000 0.5000
O1 0.0000 0.5000 0.0000
O2 0.5000 0.0000 0.0000
Ga1 0.0000 0.0000 0.0000

VASP calculation (GGA-PBE) on crystalline GaGeIO2 at its relaxed geometry.

Summary:
E above lowest polymorph = 0 meV per atom
Raw formation energy = -330.7 meV per atom
Space group = P4/mmm (123)

a b c (Å): 3.9471 3.9471 6.0800
angles (deg): 90.00 90.00 90.00
Fractional coordinates of all 5 atoms:
I1 0.0000 0.0000 0.5000
Ge1 0.0000 0.0000 0.0000
O1 0.0000 0.5000 0.0000
O2 0.5000 0.0000 0.0000
Ga1 0.5000 0.5000 0.5000

VASP calculation (GGA-PBE) on crystalline GaGeI2O at its relaxed geometry.

Summary:
E above lowest polymorph = 137 meV per atom
Raw formation energy = -224.5 meV per atom
Space group = P4/mmm (123)

a b c (Å): 5.8398 5.8398 3.6599
angles (deg): 90.00 90.00 90.00
Fractional coordinates of all 5 atoms:
I1 0.0000 0.5000 0.0000
I2 0.5000 0.0000 0.0000
Ge1 0.5000 0.5000 0.5000
O1 0.0000 0.0000 0.5000
Ga1 0.0000 0.0000 0.0000

VASP calculation (GGA-PBE) on crystalline GaGeI2O at its relaxed geometry.

Summary:
E above lowest polymorph = 0 meV per atom
Raw formation energy = -361.6 meV per atom
Space group = P4/mmm (123)

a b c (Å): 5.9905 5.9905 3.7916
angles (deg): 90.00 90.00 90.00
Fractional coordinates of all 5 atoms:
I1 0.0000 0.5000 0.0000
I2 0.5000 0.0000 0.0000
Ge1 0.0000 0.0000 0.0000
O1 0.0000 0.0000 0.5000
Ga1 0.5000 0.5000 0.5000

VASP calculation (GGA-PBE) on crystalline Pm8GaGe3I4 at its relaxed geometry.

Summary:
Raw formation energy = -957.6 meV per atom
Space group = R-3m (166)

a b c (Å): 8.7021 9.0798 8.7024
angles (deg): 118.63 120.00 90.00
Fractional coordinates of all 16 atoms:
Pm1 0.2335 0.7015 0.9682
Pm2 0.2335 0.7016 0.4670
Pm3 0.2667 0.3003 0.5334
Pm4 0.7347 0.7015 0.9682
Pm5 0.2653 0.2985 0.0318
Pm6 0.7333 0.6997 0.4666
Pm7 0.7665 0.2984 0.5330
Pm8 0.7665 0.2985 0.0318
Ga1 0.0000 0.5000 0.0000
Ge1 0.5000 0.5000 0.0000
Ge2 0.5000 0.5000 0.5000
Ge3 0.0000 0.5000 0.5000
I1 0.5000 0.0000 0.0000
I2 0.5000 0.0000 0.5000
I3 0.0000 0.0000 0.0000
I4 0.0000 0.0000 0.5000

VASP calculation (GGA-PBE) on crystalline Pm8Ga3GeI4 at its relaxed geometry.

Summary:
Raw formation energy = -826.7 meV per atom
Space group = R-3m (166)

a b c (Å): 8.7242 9.0426 8.7217
angles (deg): 118.83 120.01 90.00
Fractional coordinates of all 16 atoms:
Pm1 0.2349 0.7058 0.9709
Pm2 0.2350 0.7057 0.4699
Pm3 0.2635 0.2905 0.5269
Pm4 0.7360 0.7058 0.9709
Pm5 0.2640 0.2942 0.0291
Pm6 0.7365 0.7095 0.4731
Pm7 0.7650 0.2943 0.5301
Pm8 0.7651 0.2942 0.0291
Ga1 0.5000 0.5000 0.0000
Ga2 0.5000 0.5000 0.5000
Ga3 0.0000 0.5000 0.5000
Ge1 0.0000 0.5000 0.0000
I1 0.5000 0.0000 0.0000
I2 0.5000 0.0000 0.5000
I3 0.0000 0.0000 0.0000
I4 0.0000 0.0000 0.5000

VASP calculation (GGA-PBE) on crystalline Pr8Ga3GeI4 at its relaxed geometry.

Summary:
Raw formation energy = -841.0 meV per atom
Space group = R-3m (166)

a b c (Å): 8.8414 9.1829 8.8413
angles (deg): 118.77 120.00 90.00
Fractional coordinates of all 16 atoms:
Pr1 0.2354 0.7080 0.9726
Pr2 0.2354 0.7080 0.4709
Pr3 0.2626 0.2880 0.5253
Pr4 0.7372 0.7080 0.9726
Pr5 0.2628 0.2920 0.0274
Pr6 0.7373 0.7120 0.4747
Pr7 0.7646 0.2920 0.5291
Pr8 0.7646 0.2920 0.0274
Ga1 0.5000 0.5000 0.0000
Ga2 0.5000 0.5000 0.5000
Ga3 0.0000 0.5000 0.5000
Ge1 0.0000 0.5000 0.0000
I1 0.5000 0.0000 0.0000
I2 0.5000 0.0000 0.5000
I3 0.0000 0.0000 0.0000
I4 0.0000 0.0000 0.5000

- Look up the raw formation energy of the seventh one.
  -330.7 meV per atom